A plane-wave DFT calculation with PBE was carried out for a relaxed Sr5Au3 crystal.

a b c (Å): 8.3069 8.3069 9.8230
angles (deg): 115.01 115.01 90.00
Last column: nearest neighbours and their distance in Å.
Sites, in units of the cell vectors:
1 Au 0.8733 0.3733 0.0000  1 Au 2.98, 4 Sr 3.27-3.28
2 Au 0.1267 0.6267 0.0000  1 Au 2.98, 4 Sr 3.27-3.28
3 Au 0.2500 0.2500 0.5000  8 Sr 3.51
4 Au 0.6267 0.8733 0.0000  1 Au 2.98, 4 Sr 3.27-3.28
5 Au 0.7500 0.7500 0.5000  8 Sr 3.51
6 Au 0.3733 0.1267 0.0000  1 Au 2.98, 4 Sr 3.27-3.28
7 Sr 0.8132 0.3132 0.2857  5 Au 3.28-3.51
8 Sr 0.5000 0.5000 0.0000  4 Au 3.27
9 Sr 0.6868 0.5274 0.7143  5 Au 3.28-3.51
10 Sr 0.1868 0.6868 0.7143  5 Au 3.28-3.51
11 Sr 0.5274 0.0274 0.7143  5 Au 3.28-3.51
12 Sr 0.3132 0.4726 0.2857  5 Au 3.28-3.51
13 Sr 0.4726 0.9726 0.2857  5 Au 3.28-3.51
14 Sr 0.0274 0.1868 0.7143  5 Au 3.28-3.51
15 Sr 0.0000 0.0000 0.0000  4 Au 3.27
16 Sr 0.9726 0.8132 0.2857  5 Au 3.28-3.51

- DOS(E_F) (states/eV per cell) = 11.0
- space-group type = I4/mcm, No. 140
- crystal system = tetragonal
- energy relative to the elements (kcal/mol of atoms) = -14.5
- E (eV/atom) = -2.907